Computed, not measured: a relaxed structure of Pm2Zn12Au7 at the GGA-PBE level of DFT.

extended XYZ file:
```
21
Lattice="10.4812 0.0000 0.0000 -5.2406 9.0770 0.0000 0.0000 0.0000 4.1488" Properties=species:S:1:pos:R:3 pbc="T T T"
Pm 0.0000 6.0513 1.0285
Pm 5.2406 3.0257 3.1204
Zn -1.7959 3.9166 3.1150
Zn -0.1677 2.3914 0.9968
Zn -3.0857 8.0265 0.9968
Zn 1.9872 1.3410 3.1521
Zn -0.9508 8.6740 3.1150
Zn 2.4939 3.5136 1.0339
Zn 2.7467 5.5634 3.1150
Zn 6.1914 0.4030 1.0339
Zn 3.2534 7.7360 0.9968
Zn 8.3263 1.0505 3.1521
Zn 5.4083 6.6855 3.1521
Zn 7.0365 5.1604 1.0339
Au 0.0000 0.0000 2.0744
Au -2.3866 6.4780 3.1031
Au 0.8238 3.7711 3.1031
Au 3.6778 1.1721 1.0457
Au 1.5628 7.9049 3.1031
Au 4.4168 5.3059 1.0457
Au 7.6272 2.5990 1.0457
```

Calculated values
ΔH_f (0 K) = -0.342 eV per atom
D(E_F) = 6.93 states/eV/cell
calculated density = 10.32 Mg/m³



Computed, not measured: a relaxed structure of Pm2Zn2Au at the GGA-PBE level of DFT.

extended XYZ file:
```
10
Lattice="5.2287 -2.2979 0.0000 5.2287 2.2979 0.0000 -4.5564 0.0000 9.7627" Properties=species:S:1:pos:R:3 pbc="T T T"
Pm -1.2970 0.0000 3.2940
Pm 1.5278 0.0000 1.0818
Pm 4.3731 0.0000 8.6809
Pm 7.1979 0.0000 6.4687
Zn 1.8035 0.0000 4.2695
Zn 4.5455 0.0000 1.0836
Zn 1.3554 0.0000 8.6791
Zn 4.0974 0.0000 5.4932
Au -0.1849 0.0000 6.4705
Au 6.0858 0.0000 3.2922
```

Calculated values
ΔH_f (0 K) = -0.487 eV per atom
D(E_F) = 8.75 states/eV/cell
calculated density = 8.75 Mg/m³



Computed, not measured: a relaxed structure of PmZn12Au4 at the GGA-PBE level of DFT.

extended XYZ file:
```
17
Lattice="-4.4292 4.4292 4.4292 4.4292 -4.4292 4.4292 4.4292 4.4292 -4.4292" Properties=species:S:1:pos:R:3 pbc="T T T"
Pm 0.0000 0.0000 0.0000
Zn 3.1542 0.0000 1.2936
Zn 5.7042 0.0000 1.2936
Zn 4.4292 3.1355 -1.2750
Zn 1.2936 3.1542 0.0000
Zn 3.1355 -1.2750 4.4292
Zn 4.4292 3.1355 1.2750
Zn 0.0000 1.2936 3.1542
Zn 1.2936 5.7042 0.0000
Zn 3.1355 1.2750 4.4292
Zn 0.0000 1.2936 5.7042
Zn -1.2750 4.4292 3.1355
Zn 1.2750 4.4292 3.1355
Au 2.2146 2.2146 -2.2146
Au 2.2146 -2.2146 2.2146
Au -2.2146 2.2146 2.2146
Au 2.2146 2.2146 2.2146
```

Calculated values
ΔH_f (0 K) = -0.001 eV per atom
D(E_F) = 8.12 states/eV/cell
calculated density = 8.21 Mg/m³



Computed, not measured: a relaxed structure of Pm3ZnAu at the GGA-PBE level of DFT.

extended XYZ file:
```
10
Lattice="2.6102 -9.9080 0.0000 2.6102 9.9080 0.0000 0.0000 0.0000 5.2203" Properties=species:S:1:pos:R:3 pbc="T T T"
Pm 2.6102 8.6327 3.9152
Pm 2.6102 4.9845 3.9152
Pm 2.6102 1.3622 3.9152
Pm 2.6102 -1.3622 1.3051
Pm 2.6102 -4.9845 1.3051
Pm 2.6102 -8.6327 1.3051
Zn 2.6102 6.8633 1.3051
Zn 2.6102 -6.8633 3.9152
Au 2.6102 3.2043 1.3051
Au 2.6102 -3.2043 3.9152
```

Calculated values
ΔH_f (0 K) = -0.422 eV per atom
D(E_F) = 9.92 states/eV/cell
calculated density = 8.58 Mg/m³



Computed, not measured: a relaxed structure of PmZnAu2 at the GGA-PBE level of DFT.

extended XYZ file:
```
12
Lattice="4.6331 0.0000 0.0000 -2.3165 4.0124 0.0000 0.0000 0.0000 13.8315" Properties=species:S:1:pos:R:3 pbc="T T T"
Pm 0.0000 0.0000 0.0000
Pm 0.0000 2.6749 9.2210
Pm 2.3165 1.3375 4.6105
Zn 0.0000 0.0000 6.9158
Zn 0.0000 2.6749 2.3053
Zn 2.3165 1.3375 11.5263
Au 0.0000 0.0000 3.0772
Au 0.0000 0.0000 10.7543
Au 0.0000 2.6749 6.1438
Au 0.0000 2.6749 12.2982
Au 2.3165 1.3375 1.5333
Au 2.3165 1.3375 7.6877
```

Calculated values
ΔH_f (0 K) = -0.617 eV per atom
D(E_F) = 7.14 states/eV/cell
calculated density = 11.71 Mg/m³



Computed, not measured: a relaxed structure of Pm6ZnAu2 at the GGA-PBE level of DFT.

extended XYZ file:
```
9
Lattice="8.0915 -3.6039 0.0000 8.0915 3.6039 0.0000 -1.5629 0.0000 4.7941" Properties=species:S:1:pos:R:3 pbc="T T T"
Pm 4.8844 1.8132 1.6015
Pm 8.0915 1.7991 0.0000
Pm 9.7357 1.8132 3.1926
Pm 4.8844 -1.8132 1.6015
Pm 8.0915 -1.7991 0.0000
Pm 9.7357 -1.8132 3.1926
Zn -0.7815 0.0000 2.3971
Au 4.0860 0.0000 3.9921
Au 10.5341 0.0000 0.8020
```

Calculated values
ΔH_f (0 K) = -0.239 eV per atom
D(E_F) = 16.63 states/eV/cell
calculated density = 7.89 Mg/m³



Computed, not measured: a relaxed structure of PmZn4Au at the GGA-PBE level of DFT.

extended XYZ file:
```
12
Lattice="2.0787 -8.0824 0.0000 2.0787 8.0824 0.0000 0.0000 0.0000 6.8027" Properties=species:S:1:pos:R:3 pbc="T T T"
Pm 2.0787 6.1582 5.1021
Pm 2.0787 -6.1582 1.7007
Zn 2.0787 6.9521 1.7007
Zn 2.0787 2.6819 3.8083
Zn 2.0787 2.6819 6.3958
Zn 2.0787 0.0000 0.0000
Zn 2.0787 0.0000 3.4014
Zn 2.0787 -2.6819 0.4070
Zn 2.0787 -2.6819 2.9944
Zn 2.0787 -6.9521 5.1021
Au 2.0787 4.2830 1.7007
Au 2.0787 -4.2830 5.1021
```

Calculated values
ΔH_f (0 K) = -0.327 eV per atom
D(E_F) = 7.68 states/eV/cell
calculated density = 8.77 Mg/m³



Computed, not measured: a relaxed structure of Pm6Zn5Au at the GGA-PBE level of DFT.

extended XYZ file:
```
12
Lattice="5.1819 0.0000 0.0000 0.0000 7.3148 0.0000 -2.5829 0.0000 7.7912" Properties=species:S:1:pos:R:3 pbc="T T T"
Pm 0.0000 1.8119 0.0000
Pm 0.0000 5.5028 0.0000
Pm 0.0054 1.8011 5.1926
Pm 0.0054 5.5136 5.1926
Pm 2.5936 1.8011 2.5987
Pm 2.5936 5.5136 2.5987
Zn 0.0023 0.0000 2.6253
Zn 0.0041 3.6574 2.6959
Zn 2.5909 0.0000 0.0000
Zn 2.5949 3.6574 5.0953
Zn 2.5967 0.0000 5.1659
Au 2.5909 3.6574 0.0000
```

Calculated values
ΔH_f (0 K) = -0.393 eV per atom
D(E_F) = 12.50 states/eV/cell
calculated density = 7.84 Mg/m³



Computed, not measured: a relaxed structure of PmZn3Au2 at the GGA-PBE level of DFT.

extended XYZ file:
```
12
Lattice="7.9709 -2.0844 0.0000 7.9709 2.0844 0.0000 -3.5826 0.0000 7.1687" Properties=species:S:1:pos:R:3 pbc="T T T"
Pm 2.0814 0.0000 0.3314
Pm 10.2777 0.0000 6.8373
Zn -0.6934 0.0000 2.8590
Zn 3.0174 0.0000 3.7775
Zn 5.2685 0.0000 2.2841
Zn 7.0906 0.0000 4.8847
Zn 9.3416 0.0000 3.3912
Zn 13.0524 0.0000 4.3097
Au 0.7448 0.0000 5.2134
Au 4.6478 0.0000 5.8359
Au 7.7112 0.0000 1.3328
Au 11.6142 0.0000 1.9553
```

Calculated values
ΔH_f (0 K) = -0.426 eV per atom
D(E_F) = 4.87 states/eV/cell
calculated density = 10.25 Mg/m³



Computed, not measured: a relaxed structure of PmZn6Au3 at the GGA-PBE level of DFT.

extended XYZ file:
```
20
Lattice="8.9176 0.0000 0.0000 0.0000 4.0073 0.0000 -2.7864 0.0000 10.5310" Properties=species:S:1:pos:R:3 pbc="T T T"
Pm -0.5415 1.0018 2.5082
Pm 6.6727 3.0055 8.0227
Zn -0.4191 3.0055 4.9693
Zn -0.0193 1.0018 6.9282
Zn -0.5755 1.0018 9.8115
Zn 2.4939 1.0018 2.1431
Zn 2.0222 3.0055 6.2662
Zn 3.7449 3.0055 0.7985
Zn 2.3863 1.0018 9.7325
Zn 4.1090 1.0018 4.2647
Zn 3.6374 3.0055 8.3879
Zn 6.7068 3.0055 0.7194
Zn 6.1505 3.0055 3.6028
Zn 6.5503 1.0018 5.5617
Au 0.9952 3.0055 0.7421
Au 1.5295 1.0018 4.6408
Au 0.8933 3.0055 8.6363
Au 5.2379 1.0018 1.8947
Au 4.6017 3.0055 5.8901
Au 5.1361 1.0018 9.7889
```

Calculated values
ΔH_f (0 K) = -0.250 eV per atom
D(E_F) = 8.22 states/eV/cell
calculated density = 9.96 Mg/m³



Computed, not measured: a relaxed structure of PmZnAu2 at the GGA-PBE level of DFT.

extended XYZ file:
```
4
Lattice="4.6760 0.0000 0.0000 0.0000 4.6760 0.0000 0.0000 0.0000 3.9360" Properties=species:S:1:pos:R:3 pbc="T T T"
Pm 0.0000 0.0000 0.0000
Zn 2.3380 2.3380 0.0000
Au 0.0000 2.3380 1.9680
Au 2.3380 0.0000 1.9680
```

Calculated values
ΔH_f (0 K) = -0.460 eV per atom
D(E_F) = 2.07 states/eV/cell
calculated density = 11.66 Mg/m³



Computed, not measured: a relaxed structure of Pm3ZnAu at the GGA-PBE level of DFT.

extended XYZ file:
```
20
Lattice="7.8387 -5.2752 0.0000 7.8387 5.2752 0.0000 -1.5832 0.0000 6.9773" Properties=species:S:1:pos:R:3 pbc="T T T"
Pm 2.6048 1.3602 0.3214
Pm 5.8016 3.2915 3.5657
Pm 7.5012 3.2915 6.9002
Pm 1.8132 -1.3602 3.8100
Pm 4.4291 0.1675 6.4729
Pm 5.2206 -0.1675 2.9843
Pm 8.8737 0.1675 3.9930
Pm 9.6653 -0.1675 0.5044
Pm 12.2811 1.3602 3.1673
Pm 6.5932 -3.2915 0.0771
Pm 8.2927 -3.2915 3.4116
Pm 11.4895 -1.3602 6.6559
Zn 3.1689 1.7243 4.4192
Zn 3.9605 -1.7243 0.9306
Zn 10.1338 1.7243 6.0467
Zn 10.9254 -1.7243 2.5580
Au 7.4430 4.9809 1.7443
Au 7.4430 1.5918 1.7443
Au 6.6514 -1.5918 5.2330
Au 6.6514 -4.9809 5.2330
```

Calculated values
ΔH_f (0 K) = -0.316 eV per atom
D(E_F) = 22.03 states/eV/cell
calculated density = 8.03 Mg/m³